Entry 1:
Material: Ce2AlZn3Pt4
Method: DFT, PBE
State: relaxed

Lattice parameters (Å, degrees): 4.1964 4.1964 10.8058 90.00 90.00 90.00
With the nearest neighbours (Å) after each atom.
Fractional positions:
Ce (0.5000, 0.0000, 0.2440)  6 Zn 3.20-3.47, 8 Pt 3.24-3.37, 2 Al 3.47
Ce (0.0000, 0.5000, 0.7560)  6 Zn 3.20-3.47, 8 Pt 3.24-3.37, 2 Al 3.47
Al (0.5000, 0.5000, 0.5000)  4 Pt 2.56
Zn (0.0000, 0.0000, 0.5000)  4 Pt 2.56
Zn (0.5000, 0.0000, 0.8666)  5 Pt 2.50-2.55
Zn (0.0000, 0.5000, 0.1334)  5 Pt 2.50-2.55
Pt (0.5000, 0.5000, 0.0000)  4 Zn 2.55
Pt (0.0000, 0.0000, 0.0000)  4 Zn 2.55
Pt (0.5000, 0.0000, 0.6357)  3 Zn 2.50-2.56, 2 Al 2.56
Pt (0.0000, 0.5000, 0.3643)  3 Zn 2.50-2.56, 2 Al 2.56

As for the space-group type: No. 115. The value obtained for the energy of formation from the pure elements is -796 meV/atom. For the density of states at the Fermi level, the calculation gives 14.1 states/eV per cell. Its crystal system is tetragonal. The calculation puts the final energy at -5.1554 eV/atom.

***

Entry 2:
Material: BeAg2Pt
Method: DFT, PBE
State: relaxed

Lattice parameters (Å, degrees): 4.5445 5.4800 2.8367 75.86 87.99 113.93
With the nearest neighbours (Å) after each atom.
Fractional positions:
Be (0.0000, 0.5000, 0.5000)  4 Pt 2.64-2.72, 4 Ag 2.76, 2 Be 2.84
Ag (0.0000, 0.0000, 0.0000)  6 Ag 2.64-2.84, 2 Be 2.76, 2 Pt 2.76
Ag (0.5000, 0.0000, 0.5000)  6 Ag 2.64-2.84, 2 Pt 2.76, 2 Be 2.76
Pt (0.5000, 0.5000, 0.0000)  4 Be 2.64-2.72, 4 Ag 2.76, 2 Pt 2.84

As for the space-group type: No. 12. The value obtained for the energy of formation from the pure elements is 88 meV/atom. For the density of states at the Fermi level, the calculation gives 1.2 states/eV per cell. Its crystal system is monoclinic. The calculation puts the final energy at -3.7795 eV/atom.

***

Entry 3:
Material: SrIn8Hg6
Method: DFT, PBE
State: relaxed

Lattice parameters (Å, degrees): 8.9168 8.9168 8.2034 57.08 57.08 60.00
With the nearest neighbours (Å) after each atom.
Fractional positions:
Sr (0.0000, 0.0000, 0.0000)  6 Hg 3.34, 6 In 3.60
In (0.5778, 0.2663, 0.2914)  4 Hg 2.97-3.06, 1 In 3.29
In (0.7337, 0.1355, 0.7086)  4 Hg 2.97-3.06, 1 In 3.29
In (0.1355, 0.4222, 0.7086)  4 Hg 2.97-3.06, 1 In 3.29
In (0.6697, 0.6697, 0.9908)  3 Hg 3.10, 3 In 3.29
In (0.3303, 0.3303, 0.0092)  3 Hg 3.10, 3 In 3.29
In (0.8645, 0.5778, 0.2914)  4 Hg 2.97-3.06, 1 In 3.29
In (0.2663, 0.8645, 0.2914)  4 Hg 2.97-3.06, 1 In 3.29
In (0.4222, 0.7337, 0.7086)  4 Hg 2.97-3.06, 1 In 3.29
Hg (0.4307, 0.0414, 0.7595)  5 In 2.97-3.10
Hg (0.9586, 0.2315, 0.2405)  5 In 2.97-3.10
Hg (0.2315, 0.5693, 0.2405)  5 In 2.97-3.10
Hg (0.7685, 0.4307, 0.7595)  5 In 2.97-3.10
Hg (0.0414, 0.7685, 0.7595)  5 In 2.97-3.10
Hg (0.5693, 0.9586, 0.2405)  5 In 2.97-3.10

As for the space-group type: No. 148. The value obtained for the energy of formation from the pure elements is -62 meV/atom. For the density of states at the Fermi level, the calculation gives 6.6 states/eV per cell. Its crystal system is trigonal. The calculation puts the final energy at -1.7556 eV/atom.

***

Entry 4:
Material: Pm6Ir2SeI3
Method: DFT, PBE
State: relaxed

Lattice parameters (Å, degrees): 7.4103 7.4103 8.2978 98.54 98.54 119.96
With the nearest neighbours (Å) after each atom.
Fractional positions:
Pm (0.9368, 0.5805, 0.8122)  2 Ir 2.81, 1 Se 3.03
Pm (0.7059, 0.7059, 0.1870)  2 Ir 2.82, 1 Se 3.03
Pm (0.0632, 0.4195, 0.1878)  2 Ir 2.81, 1 Se 3.03
Pm (0.5805, 0.9368, 0.8122)  2 Ir 2.81, 1 Se 3.03
Pm (0.2941, 0.2941, 0.8130)  2 Ir 2.82, 1 Se 3.03
Pm (0.4195, 0.0632, 0.1878)  2 Ir 2.81, 1 Se 3.03
Ir (0.3330, 0.6670, 0.0000)  6 Pm 2.81-2.82
Ir (0.6670, 0.3330, 0.0000)  6 Pm 2.81-2.82
Se (0.0000, 0.0000, 0.0000)  6 Pm 3.03
I (0.1627, 0.8373, 0.5000)  6 Pm 3.41-3.56
I (0.8373, 0.1627, 0.5000)  6 Pm 3.41-3.56
I (0.5000, 0.5000, 0.5000)  6 Pm 3.38-3.56

As for the space-group type: No. 12. For the density of states at the Fermi level, the calculation gives 6.8 states/eV per cell. Its crystal system is monoclinic. The calculation puts the final energy at -5.6428 eV/atom.

***

Question: Look up the final energy of the third one.
Answer: -1.7556 eV/atom

***

Copy entry 4 word for word.
Material: Pm6Ir2SeI3
Method: DFT, PBE
State: relaxed

Lattice parameters (Å, degrees): 7.4103 7.4103 8.2978 98.54 98.54 119.96
With the nearest neighbours (Å) after each atom.
Fractional positions:
Pm (0.9368, 0.5805, 0.8122)  2 Ir 2.81, 1 Se 3.03
Pm (0.7059, 0.7059, 0.1870)  2 Ir 2.82, 1 Se 3.03
Pm (0.0632, 0.4195, 0.1878)  2 Ir 2.81, 1 Se 3.03
Pm (0.5805, 0.9368, 0.8122)  2 Ir 2.81, 1 Se 3.03
Pm (0.2941, 0.2941, 0.8130)  2 Ir 2.82, 1 Se 3.03
Pm (0.4195, 0.0632, 0.1878)  2 Ir 2.81, 1 Se 3.03
Ir (0.3330, 0.6670, 0.0000)  6 Pm 2.81-2.82
Ir (0.6670, 0.3330, 0.0000)  6 Pm 2.81-2.82
Se (0.0000, 0.0000, 0.0000)  6 Pm 3.03
I (0.1627, 0.8373, 0.5000)  6 Pm 3.41-3.56
I (0.8373, 0.1627, 0.5000)  6 Pm 3.41-3.56
I (0.5000, 0.5000, 0.5000)  6 Pm 3.38-3.56

As for the space-group type: No. 12. For the density of states at the Fermi level, the calculation gives 6.8 states/eV per cell. Its crystal system is monoclinic. The calculation puts the final energy at -5.6428 eV/atom.